The following is a DFT calculation (PBE) of LaGdSi4Os2 after structural relaxation.

The structure in CIF format:
```
data_LaGdSi4Os2
_space_group_name_H-M_alt 'P 1 m 1'
_space_group_IT_number 6
_cell_length_a 4.489
_cell_length_b 4.149
_cell_length_c 8.252
_cell_angle_alpha 90.00
_cell_angle_beta 102.21
_cell_angle_gamma 90.00
loop_
_space_group_symop_operation_xyz
'x,y,z'
'x,-y,z'
loop_
_atom_site_label
_atom_site_fract_x
_atom_site_fract_y
_atom_site_fract_z
La1 0.000 0.000 0.000
Gd1 0.818 0.500 0.596
Si1 0.078 0.500 0.299
Si2 0.372 0.000 0.708
Si3 0.449 0.500 0.891
Si4 0.744 0.000 0.308
Os1 0.294 0.000 0.416
Os2 0.529 0.500 0.189
```

Values from the calculation:
Energy   -7.459 eV/atom